La2TcRh, optimized geometry, DFT PBE-GGA; spin magnetization = 0.006 Bohr magnetons per cell; calculated total energy = -28.01 eV per formula unit; density = 7.15 g cm⁻³; E above lowest polymorph = 5.3 kJ per mole of atoms; DFT formation energy = -110 meV per atom
1.0
7.318 -0.058 -0.036
6.076 4.079 -0.036
6.076 1.824 3.649
La Rh Tc
2 1 1
Cartesian
4.246 1.275 0.780
0.617 0.185 0.113
8.751 2.627 1.608
15.592 4.681 2.865